Computed, not measured: a relaxed Ti3ZnCo crystal at the GGA-PBE level of DFT.

DFT total energy: -6.594 eV per atom
density of states at the Fermi level: 0.7980 states/eV/atom
size of the total moment: 0.000 μB per atom

a b c (Å): 6.5977 3.0411 7.8910
angles (deg): 90.00 101.20 90.00
Closest atoms and distances in Å follow each position.
Space group P2_1/m (No. 11)
Unique sites:
Ti (0.1329, 0.2500, 0.1332) x2  2 Co 2.63, 4 Ti 2.81-2.89, 2 Zn 2.81
Ti (0.1958, 0.7500, 0.5058) x2  3 Co 2.43, 1 Zn 2.71
Ti (0.3291, 0.7500, 0.9122) x2  2 Co 2.41
Zn (0.4749, 0.7500, 0.2944) x2  8 Ti 2.71-2.98, 1 Co 2.76
Co (0.1104, 0.2500, 0.7222) x2  7 Ti 2.41-2.63